Compound: GdHo2Mg3Tl2Hg
Source: the Open Quantum Materials Database
Functional: PBE
Structure: optimized geometry

## Properties
DFT total energy ... -26.83 eV/cell
Volume ... 25.1 Å³/atom

Cell: 4.6042 7.5330 7.5330 Å, 120.31 90.00 90.00°
Sites, in units of the cell vectors:
1 Gd 0.0000 0.5782 0.5782
2 Hg 0.0000 0.0032 0.0032
3 Ho 0.0000 0.9993 0.4204
4 Ho 0.0000 0.4204 0.9993
5 Mg 0.5000 0.7618 0.0000
6 Mg 0.5000 0.2389 0.2389
7 Mg 0.5000 0.0000 0.7618
8 Tl 0.5000 0.6670 0.3313
9 Tl 0.5000 0.3313 0.6670